This record from Alexandria describes crystalline CaDy2Pu at its relaxed geometry. The functional is PBE.

Cell lengths 3.552, 3.552, 10.235 Å; angles 90.00, 90.00, 90.00 degrees
Space group P4/mmm (No. 123)
One atom of each set of equivalent atoms:
1 Ca 0.000 0.000 0.000 x1
2 Dy 0.500 0.500 0.275 x2
3 Pu 0.000 0.000 0.500 x1

* magnetic moment: 6.26 μB per formula unit
* distance to the lowest polymorph of the same formula: 0.0000 eV per atom